## IO (PBE)

Data for IO after structural relaxation.

It has space group I4/m (No. 87), with a = 10.9285 Å, b = 10.9285 Å, c = 3.2279 Å, α = 90.00°, β = 90.00° and γ = 90.00°. The asymmetric unit holds I at (0.0453, 0.2283, 0.0000) and O at (0.1306, 0.7506, 0.0000).

The value obtained for the total magnetization is 0.00 μB/cell. The excess energy over the best structure of this formula in the dataset is 21.2 kJ/mol of atoms. The total energy is -49.265 eV per cell.